Cd3Pd6Pb after structural relaxation, computed with PBE-GGA.

Its volume is 176 Å³/f.u. As for the space group: P2_1/m. The formation enthalpy at 0 K is -0.299 eV per atom. The density of states at the Fermi level is 9.10 states/eV/cell. Its total energy is -81.20 eV per cell. Its magnetic moment is 0.00 μB/f.u.

```
20
Lattice="-2.0312 -2.5435 -3.5216 -0.1096 -6.2713 4.5926 -8.5157 5.4597 0.9683" Properties=species:S:1:pos:R:3 pbc="T T T"
Pd -6.4289 -0.9960 2.7948
Cd -1.6719 -3.2681 -1.5729
Pd -4.6925 0.4042 0.7820
Pd -3.0141 -4.4482 3.3186
Pd -1.2478 -3.0562 1.2945
Pb -4.9559 -0.0269 -2.0198
Pd -5.9639 -3.7592 1.2573
Pd -2.0819 -0.6144 0.0120
Pd -9.4086 -0.2988 0.7448
Pd -8.5745 -2.7407 2.0274
Pb -5.7005 -3.3282 4.0591
Pd -8.0741 3.8097 0.2728
Cd -3.7764 -1.9527 1.9559
Cd -7.2924 1.3894 1.5700
Pd -4.2275 -2.3591 -0.7555
Cd -3.3640 -4.7445 0.4694
Cd -8.9845 -0.0869 3.6122
Cd -6.8800 -1.4024 0.0834
Pd -7.6423 1.0932 -1.2793
Pd -2.5824 -7.1647 1.7665
```